Entry from Alexandria: a relaxed structure of NaIn4AgPd2 (PBE).

Structure (POSCAR):
```
NaIn4AgPd2
1.0
-1.531 -4.244 -1.649
2.242 -2.091 -3.698
5.107 -5.833 3.275
Ag Pd Na In
1 2 1 4
Cartesian
2.909 -6.084 -1.036
1.421 -3.016 -0.553
4.397 -9.152 -1.519
0.000 0.000 0.000
4.698 -7.451 0.822
3.264 -4.425 1.361
2.554 -7.743 -3.433
1.120 -4.717 -2.894
```

Electronic total energy ... -27.27 eV per cell
Total magnetic moment ... 0.00 μB per cell